Computed, not measured: an optimized crystal structure of SiTcSe2 at the GGA-PBE level of DFT.

Final energy = -5.14 eV/atom
Crystal system = orthorhombic
Total moment = 0.00 μB/f.u.
DOS(E_F) = 0.9942 states/eV per atom
Theoretical density = 6.59 g cm⁻³

```
data_SiTcSe2
_cell_length_a 2.933
_cell_length_b 2.933
_cell_length_c 9.377
_cell_angle_alpha 90.00
_cell_angle_beta 90.00
_cell_angle_gamma 117.44
_space_group_name_H-M_alt 'P 1'
_space_group_IT_number 1
loop_
_space_group_symop_operation_xyz
'x,y,z'
loop_
_atom_site_label
_atom_site_type_symbol
_atom_site_fract_x
_atom_site_fract_y
_atom_site_fract_z
Si1 Si 0.000 0.000 0.000
Tc1 Tc 0.000 0.000 0.500
Se1 Se 0.500 0.500 0.280
Se2 Se 0.500 0.500 0.720
```

---

Computed, not measured: an optimized crystal structure of SiTc2Se at the GGA-PBE level of DFT.

Energy above the lowest structure with this stoichiometry = 190 meV per atom
Final energy = -7.34 eV/atom
Crystal system = orthorhombic
Total moment = 0.00 μB/f.u.
DOS(E_F) = 0.7121 states/eV per atom
Theoretical density = 8.49 g cm⁻³

```
data_SiTc2Se
_cell_length_a 5.389
_cell_length_b 5.389
_cell_length_c 5.389
_cell_angle_alpha 147.49
_cell_angle_beta 134.80
_cell_angle_gamma 56.78
_space_group_name_H-M_alt 'P 1'
_space_group_IT_number 1
loop_
_space_group_symop_operation_xyz
'x,y,z'
loop_
_atom_site_label
_atom_site_type_symbol
_atom_site_fract_x
_atom_site_fract_y
_atom_site_fract_z
Si1 Si 0.000 0.000 0.000
Tc1 Tc 0.232 0.732 0.500
Tc2 Tc 0.497 0.497 0.000
Se1 Se 0.723 0.223 0.500
```

---

Computed, not measured: an optimized crystal structure of SiTcSe at the GGA-PBE level of DFT.

Energy above the lowest structure with this stoichiometry = 241 meV per atom
Final energy = -6.22 eV/atom
Crystal system = cubic
Total moment = 0.00 μB/f.u.
DOS(E_F) = 1.0833 states/eV per atom
Theoretical density = 6.45 g cm⁻³

```
data_SiTcSe
_cell_length_a 4.211
_cell_length_b 4.211
_cell_length_c 4.211
_cell_angle_alpha 60.00
_cell_angle_beta 60.00
_cell_angle_gamma 60.00
_space_group_name_H-M_alt 'P 1'
_space_group_IT_number 1
loop_
_space_group_symop_operation_xyz
'x,y,z'
loop_
_atom_site_label
_atom_site_type_symbol
_atom_site_fract_x
_atom_site_fract_y
_atom_site_fract_z
Si1 Si 0.000 0.000 0.000
Tc1 Tc 0.750 0.750 0.750
Se1 Se 0.500 0.500 0.500
```

---

Computed, not measured: an optimized crystal structure of SiTcSe2 at the GGA-PBE level of DFT.

Final energy = -5.77 eV/atom
Crystal system = monoclinic
Total moment = 0.00 μB/f.u.
DOS(E_F) = 0.6745 states/eV per atom
Theoretical density = 5.32 g cm⁻³

```
data_SiTcSe2
_cell_length_a 4.356
_cell_length_b 4.356
_cell_length_c 6.675
_cell_angle_alpha 97.34
_cell_angle_beta 97.34
_cell_angle_gamma 44.94
_space_group_name_H-M_alt 'P 1'
_space_group_IT_number 1
loop_
_space_group_symop_operation_xyz
'x,y,z'
loop_
_atom_site_label
_atom_site_type_symbol
_atom_site_fract_x
_atom_site_fract_y
_atom_site_fract_z
Si1 Si 0.000 0.000 0.000
Tc1 Tc 0.279 0.279 0.936
Se1 Se 0.559 0.559 0.706
Se2 Se 0.816 0.816 0.238
```

---

Computed, not measured: an optimized crystal structure of SiTc2Se at the GGA-PBE level of DFT.

Energy above the lowest structure with this stoichiometry = 623 meV per atom
Final energy = -6.90 eV/atom
Crystal system = cubic
Total moment = 0.82 μB/f.u.
DOS(E_F) = 1.3921 states/eV per atom
Theoretical density = 8.30 g cm⁻³

```
data_SiTc2Se
_cell_length_a 4.409
_cell_length_b 4.409
_cell_length_c 4.409
_cell_angle_alpha 60.00
_cell_angle_beta 60.00
_cell_angle_gamma 60.00
_space_group_name_H-M_alt 'P 1'
_space_group_IT_number 1
loop_
_space_group_symop_operation_xyz
'x,y,z'
loop_
_atom_site_label
_atom_site_type_symbol
_atom_site_fract_x
_atom_site_fract_y
_atom_site_fract_z
Si1 Si 0.000 0.000 0.000
Tc1 Tc 0.250 0.250 0.250
Tc2 Tc 0.500 0.500 0.500
Se1 Se 0.750 0.750 0.750
```

---

Computed, not measured: an optimized crystal structure of SiTc2Se at the GGA-PBE level of DFT.

Energy above the lowest structure with this stoichiometry = 70 meV per atom
Final energy = -7.46 eV/atom
Crystal system = cubic
Total moment = 0.00 μB/f.u.
DOS(E_F) = 0.6747 states/eV per atom
Theoretical density = 8.93 g cm⁻³

```
data_SiTc2Se
_cell_length_a 4.304
_cell_length_b 4.304
_cell_length_c 4.304
_cell_angle_alpha 60.00
_cell_angle_beta 60.00
_cell_angle_gamma 60.00
_space_group_name_H-M_alt 'P 1'
_space_group_IT_number 1
loop_
_space_group_symop_operation_xyz
'x,y,z'
loop_
_atom_site_label
_atom_site_type_symbol
_atom_site_fract_x
_atom_site_fract_y
_atom_site_fract_z
Si1 Si 0.000 0.000 0.000
Tc1 Tc 0.250 0.250 0.250
Tc2 Tc 0.750 0.750 0.750
Se1 Se 0.500 0.500 0.500
```